CsPa: relaxed, GGA-PBE.

Calculated values
- Polymorph energy (0 for the lowest one): 0.00 eV per formula unit

abc: 3.362 3.362 7.314
angles: 90.00 90.00 120.00
Fractional positions:
Cs: 0.000 0.000 0.000
Pa: 0.667 0.333 0.500